# Li3GeN2 (GGA-PBE, relaxed)
# * uncorrected formation energy: -0.151 eV per atom
data_Li3GeN2
_chemical_formula_sum 'Li12 Ge4 N8'
_symmetry_space_group_name_H-M 'I b a m'
_symmetry_Int_Tables_number 72
_symmetry_space_group_name_Hall '-I 2 2c'
_cell_length_a 4.964
_cell_length_b 9.912
_cell_length_c 5.397
_cell_angle_alpha 90.00
_cell_angle_beta 90.00
_cell_angle_gamma 90.00
loop_
_atom_site_label
_atom_site_type_symbol
_atom_site_fract_x
_atom_site_fract_y
_atom_site_fract_z
_atom_site_occupancy
Li1 Li 0.000 0.000 0.250 1
Li2 Li 0.000 0.250 0.250 1
Ge1 Ge 0.000 0.500 0.000 1
N1 N 0.238 0.132 0.000 1